1.
This record from the Alexandria database describes MnZn2H at its PBEsol-relaxed geometry. The functional is meta-GGA SCAN.

Total moment in Bohr magnetons per cell: 15.40
Energy in eV/atom: -11.6095

Cell: 5.797 5.797 5.797 Å, 90.00 90.00 90.00°
Space group Fm-3m (No. 225)
One atom of each set of equivalent atoms:
Mn (0.000, 0.000, 0.000)
Zn (0.250, 0.250, 0.250)
H (0.000, 0.000, 0.500)

=====

2.
This record from the Alexandria database describes LiReRh2 at its PBEsol-relaxed geometry. The functional is meta-GGA SCAN.

Formation energy from the elements in kJ/mol of formula units: 11
Total moment in Bohr magnetons per cell: 0.00
Energy in eV/atom: -35.2292

Cell: 3.628 3.628 7.971 Å, 90.00 90.00 90.00°
Space group I-4m2 (No. 119)
One atom of each set of equivalent atoms:
Li (0.000, 0.000, 0.000)
Re (0.000, 0.500, 0.250)
Rh (0.000, 0.000, 0.500)
Rh (0.000, 0.500, 0.750)

=====

3.
This record from the Alexandria database describes Ba2NaFe at its PBEsol-relaxed geometry. The functional is meta-GGA SCAN.

Formation energy from the elements in kJ/mol of formula units: 177
Total moment in Bohr magnetons per cell: 11.05
Energy in eV/atom: -24.9020

Cell: 8.183 8.183 8.183 Å, 90.00 90.00 90.00°
Space group Fm-3m (No. 225)
One atom of each set of equivalent atoms:
Ba (0.250, 0.250, 0.250)
Na (0.000, 0.000, 0.000)
Fe (0.000, 0.000, 0.500)

=====

4.
This record from the Alexandria database describes Zr2RhSe at its PBEsol-relaxed geometry. The functional is meta-GGA SCAN.

Formation energy (no corrections) in eV per atom: -0.778
Total moment in Bohr magnetons per cell: 0.00
Energy in eV/atom: -29.5896

Cell: 3.968 5.016 7.272 Å, 90.00 90.00 90.00°
Space group Immm (No. 71)
One atom of each set of equivalent atoms:
Zr (0.000, 0.000, 0.249)
Rh (0.000, 0.500, 0.000)
Se (0.000, 0.500, 0.500)

=====

5.
This record from the Alexandria database describes Li3In at its PBEsol-relaxed geometry. The functional is meta-GGA SCAN.

Formation energy from the elements in kJ/mol of formula units: -117
Total moment in Bohr magnetons per cell: 0.07
Energy above the lowest structure with this stoichiometry in meV per atom: 12.6
Energy in eV/atom: -10.4421

Cell: 4.052 4.052 8.670 Å, 90.00 90.00 90.00°
Space group I4/mmm (No. 139)
One atom of each set of equivalent atoms:
Li (0.000, 0.000, 0.000)
Li (0.000, 0.500, 0.250)
In (0.000, 0.000, 0.500)

=====

6.
This record from the Alexandria database describes Ca2PAu2 at its PBEsol-relaxed geometry. The functional is meta-GGA SCAN.

Formation energy from the elements in kJ/mol of formula units: -318
Total moment in Bohr magnetons per cell: 0.00
Energy in eV/atom: -34.2671

Cell: 5.725 5.725 7.372 Å, 90.00 90.00 90.00°
Space group I4/mmm (No. 139)
One atom of each set of equivalent atoms:
Ca (0.000, 0.500, 0.250)
P (0.000, 0.000, 0.000)
Au (0.000, 0.000, 0.327)

=====

7.
This record from the Alexandria database describes Ba2SrRh at its PBEsol-relaxed geometry. The functional is meta-GGA SCAN.

Formation energy from the elements in kJ/mol of formula units: 100
Total moment in Bohr magnetons per cell: 0.00
Energy above the lowest structure with this stoichiometry in meV per atom: 388.5
Energy in eV/atom: -33.5275

Cell: 5.136 5.136 5.050 Å, 90.00 90.00 90.00°
Space group P4/mmm (No. 123)
One atom of each set of equivalent atoms:
Ba (0.000, 0.500, 0.000)
Sr (0.000, 0.000, 0.500)
Rh (0.500, 0.500, 0.500)

=====

8.
This record from the Alexandria database describes LiMnCo2B at its PBEsol-relaxed geometry. The functional is meta-GGA SCAN.

Formation energy from the elements in kJ/mol of formula units: 951
Total moment in Bohr magnetons per cell: 2.23
Energy in eV/atom: -10.5647

Cell: 4.009 4.009 4.161 Å, 90.00 90.00 90.00°
Space group P4/mmm (No. 123)
One atom of each set of equivalent atoms:
Li (0.000, 0.000, 0.000)
Mn (0.000, 0.000, 0.500)
Co (0.000, 0.500, 0.500)
B (0.500, 0.500, 0.000)

=====

9.
This record from the Alexandria database describes SrFe2Ni at its PBEsol-relaxed geometry. The functional is meta-GGA SCAN.

Formation energy from the elements in kJ/mol of formula units: 198
Total moment in Bohr magnetons per cell: 6.45
Energy in eV/atom: -18.1629

Cell: 2.940 4.108 5.908 Å, 90.00 101.93 90.00°
Space group P2/m (No. 10)
One atom of each set of equivalent atoms:
Sr (0.000, 0.000, 0.000)
Fe (0.303, 0.500, 0.651)
Ni (0.500, 0.000, 0.500)

=====

10.
This record from the Alexandria database describes LaCoSi at its PBEsol-relaxed geometry. The functional is meta-GGA SCAN.

Formation energy (no corrections) in eV per atom: -0.224
Total moment in Bohr magnetons per cell: 1.46
Energy in eV/atom: -23.6986

Cell: 3.029 3.029 11.112 Å, 90.00 90.00 90.00°
Space group I4mm (No. 107)
One atom of each set of equivalent atoms:
La (0.000, 0.000, 0.000)
Co (0.000, 0.000, 0.302)
Si (0.000, 0.000, 0.715)

=====

11.
This record from the Alexandria database describes K2ZnF at its PBEsol-relaxed geometry. The functional is meta-GGA SCAN.

Formation energy (no corrections) in eV per atom: -0.826
Total moment in Bohr magnetons per cell: 3.44
Energy in eV/atom: -9.2540

Cell: 7.644 7.644 7.644 Å, 90.00 90.00 90.00°
Space group Fm-3m (No. 225)
One atom of each set of equivalent atoms:
K (0.250, 0.250, 0.250)
Zn (0.000, 0.000, 0.000)
F (0.000, 0.000, 0.500)

=====

12.
This record from the Alexandria database describes AgSbRu2 at its PBEsol-relaxed geometry. The functional is meta-GGA SCAN.

Formation energy (no corrections) in eV per atom: 0.331
Total moment in Bohr magnetons per cell: 0.00
Energy in eV/atom: -34.2388

Cell: 3.146 3.146 6.361 Å, 90.00 90.00 90.00°
Space group P4/mmm (No. 123)
One atom of each set of equivalent atoms:
Ag (0.000, 0.000, 0.000)
Sb (0.000, 0.000, 0.500)
Ru (0.500, 0.500, 0.270)

=====

Q: Which value of energy does entry 10 give?
A: -23.6986 eV/atom